Density functional theory data (PBE) for a relaxed TiAu2Br2 crystal.

Cell: 3.650 3.650 11.031 Å, 80.48 80.48 90.00°
Each line ends with the local moment (μB).
Fractional positions:
Br: 0.575 0.575 0.851  -0.03
Ti: 0.000 0.000 0.000  1.67
Au: 0.750 0.250 0.500  0.00
Au: 0.250 0.750 0.500  0.00
Br: 0.425 0.425 0.149  -0.03

## Properties
- Total energy: -3.688 eV per atom
- Formation energy (no corrections): -0.13 eV/atom

---

Density functional theory data (PBE) for a relaxed TiAu2Br2 crystal.

Cell: 4.574 4.574 6.796 Å, 70.33 70.33 90.00°
Each line ends with the local moment (μB).
Fractional positions:
Ti: 0.000 0.000 0.000  -0.58
Br: 0.750 0.250 0.500  0.01
Au: 0.393 0.393 0.215  0.02
Br: 0.250 0.750 0.500  0.01
Au: 0.607 0.607 0.785  0.02

## Properties
- Total energy: -3.004 eV per atom
- Formation energy (no corrections): 0.56 eV/atom

---

Density functional theory data (PBE) for a relaxed TiAu2Br2 crystal.

Cell: 6.612 6.612 6.214 Å, 90.00 90.00 90.00°
Each line ends with the local moment (μB).
Fractional positions:
Br: 0.328 0.828 0.000  -0.04
Ti: 0.500 0.500 0.000  1.38
Br: 0.828 0.672 0.000  -0.04
Br: 0.672 0.172 0.000  -0.04
Au: 0.356 0.144 0.500  0.04
Ti: 0.000 0.000 0.000  1.36
Au: 0.856 0.356 0.500  0.03
Au: 0.144 0.644 0.500  0.03
Br: 0.172 0.328 0.000  -0.04
Au: 0.644 0.856 0.500  0.03

## Properties
- Total energy: -3.421 eV per atom
- Formation energy (no corrections): 0.14 eV/atom

---

Density functional theory data (PBE) for a relaxed YTiAuBr2 crystal.

Cell: 4.892 5.391 4.892 Å, 90.00 90.00 90.00°
Each line ends with the local moment (μB).
Fractional positions:
Y: 0.500 0.500 0.500  0.11
Au: 0.000 0.500 0.000  0.02
Br: 0.000 0.000 0.500  0.00
Ti: 0.000 0.000 0.000  0.59
Br: 0.500 0.000 0.000  0.01

## Properties
- Total energy: -4.510 eV per atom
- Formation energy (no corrections): -0.31 eV/atom

---

Density functional theory data (PBE) for a relaxed Tl2AuBr8 crystal.

Cell: 9.957 7.957 7.957 Å, 53.67 76.26 76.26°
Fractional positions:
Br: 0.721 0.402 0.402
Br: 0.279 0.598 0.598
Tl: 0.684 0.232 0.232
Br: 0.455 0.181 0.181
Br: 0.860 0.859 0.369
Br: 0.140 0.631 0.141
Br: 0.140 0.141 0.631
Au: 0.000 0.000 0.000
Tl: 0.316 0.768 0.768
Br: 0.545 0.819 0.819
Br: 0.860 0.369 0.859

## Properties
- Total energy: -2.299 eV per atom
- Formation energy (no corrections): -0.35 eV/atom

---

Density functional theory data (PBE) for a relaxed Tl3AuBr4 crystal.

Cell: 6.775 11.655 8.979 Å, 90.00 90.00 90.00°
Fractional positions:
Tl: 0.064 0.101 0.500
Tl: 0.564 0.332 0.740
Br: 0.064 0.349 0.729
Br: 0.564 0.651 0.771
Au: 0.564 0.655 0.500
Br: 0.064 0.862 0.000
Br: 0.564 0.138 0.500
Tl: 0.064 0.668 0.760
Br: 0.064 0.349 0.271
Br: 0.564 0.163 0.000
Tl: 0.064 0.668 0.240
Br: 0.064 0.837 0.500
Au: 0.064 0.345 0.000
Br: 0.564 0.651 0.229
Tl: 0.564 0.332 0.260
Tl: 0.564 0.899 0.000

## Properties
- Total energy: -2.760 eV per atom
- Formation energy (no corrections): -0.63 eV/atom

---

Density functional theory data (PBE) for a relaxed TlAuBr3 crystal.

Cell: 5.617 5.617 5.617 Å, 90.00 90.00 90.00°
Fractional positions:
Tl: 0.000 0.000 0.000
Br: 0.000 0.000 0.500
Br: 0.000 0.500 0.000
Au: 0.500 0.500 0.500
Br: 0.500 0.000 0.000

## Properties
- Total energy: -1.969 eV per atom
- Formation energy (no corrections): 0.16 eV/atom

---

Density functional theory data (PBE) for a relaxed TlAu2Br8 crystal.

Cell: 7.301 7.982 7.982 Å, 81.26 74.05 74.05°
Each line ends with the local moment (μB).
Fractional positions:
Br: 0.809 0.083 0.730  0.08
Br: 0.191 0.917 0.270  0.08
Br: 0.113 0.398 0.398  0.02
Br: 0.887 0.602 0.602  0.02
Au: 0.386 0.156 0.156  0.16
Br: 0.809 0.730 0.083  0.08
Br: 0.336 0.774 0.774  0.06
Br: 0.664 0.226 0.226  0.06
Tl: 0.000 0.000 0.000  0.00
Br: 0.191 0.270 0.917  0.08
Au: 0.614 0.844 0.844  0.16

## Properties
- Total energy: -2.170 eV per atom
- Formation energy (no corrections): -0.14 eV/atom

---

Density functional theory data (PBE) for a relaxed TlAu2Br crystal.

Cell: 3.977 3.968 6.213 Å, 90.00 90.00 90.00°
Fractional positions:
Br: 0.500 0.500 0.250
Au: 0.000 0.000 0.972
Au: 0.000 0.000 0.528
Tl: 0.500 0.500 0.750

## Properties
- Total energy: -2.513 eV per atom
- Formation energy (no corrections): 0.14 eV/atom

---

Density functional theory data (PBE) for a relaxed TlAuBr crystal.

Cell: 6.889 6.473 3.883 Å, 79.07 67.32 33.61°
Fractional positions:
Br: 0.356 0.356 0.644
Tl: 0.646 0.646 0.354
Au: 0.998 0.998 0.002

## Properties
- Total energy: -2.510 eV per atom
- Formation energy (no corrections): -0.07 eV/atom

---

Density functional theory data (PBE) for a relaxed TlAu3Br crystal.

Cell: 5.275 5.275 5.275 Å, 90.00 90.00 90.00°
Fractional positions:
Tl: 0.500 0.500 0.500
Au: 0.000 0.500 0.000
Au: 0.500 0.000 0.000
Au: 0.000 0.000 0.500
Br: 0.000 0.000 0.000

## Properties
- Total energy: -2.138 eV per atom
- Formation energy (no corrections): 0.64 eV/atom

---

Density functional theory data (PBE) for a relaxed Tl2AuBr crystal.

Cell: 6.903 6.903 8.746 Å, 66.76 66.76 90.00°
Fractional positions:
Au: 0.000 0.000 0.000
Tl: 0.662 0.125 0.250
Tl: 0.375 0.338 0.750
Au: 0.750 0.250 0.500
Tl: 0.875 0.912 0.750
Br: 0.500 0.500 0.000
Br: 0.250 0.750 0.500
Tl: 0.088 0.625 0.250

## Properties
- Total energy: -2.695 eV per atom
- Formation energy (no corrections): -0.27 eV/atom

---

Density functional theory data (PBE) for a relaxed TlAu2Br6 crystal.

Cell: 7.045 10.190 10.190 Å, 74.60 68.82 68.82°
Fractional positions:
Br: 0.810 0.183 0.042
Br: 0.275 0.740 0.505
Br: 0.724 0.633 0.127
Br: 0.276 0.367 0.873
Br: 0.725 0.260 0.495
Tl: 0.750 0.910 0.090
Br: 0.690 0.958 0.817
Br: 0.190 0.817 0.958
Br: 0.776 0.873 0.367
Br: 0.225 0.495 0.260
Br: 0.224 0.127 0.633
Au: 0.643 0.673 0.546
Tl: 0.250 0.090 0.910
Au: 0.357 0.327 0.454
Au: 0.143 0.546 0.673
Au: 0.857 0.454 0.327
Br: 0.310 0.042 0.183
Br: 0.775 0.505 0.740

## Properties
- Total energy: -2.305 eV per atom
- Formation energy (no corrections): -0.20 eV/atom